Pa2HRu PBE-GGA optimized geometry; space group = R-3m; relative energy among the computed polymorphs = 1.19 eV per formula unit; total energy = -7.7589 eV/atom
1.0
-3.620 -1.225 0.137
-1.625 -1.514 -3.113
0.594 -7.605 1.041
Ru Pa H
1 2 1
direct
0.500 0.500 0.500
0.094 0.094 0.718
0.906 0.906 0.282
0.000 0.000 0.000